# 1
Pm6Dy6Ho after structural relaxation. Source: Alexandria via LeMat-Bulk, functional PBE.

Unit cell a=6.720 b=6.720 c=11.378 alpha=90.00 beta=90.00 gamma=120.00
Fractional positions:
Pm  0.000  0.000  0.155
Pm  0.000  0.000  0.845
Pm  0.333  0.667  0.000
Pm  0.333  0.667  0.500
Pm  0.667  0.333  0.000
Pm  0.667  0.333  0.500
Dy  0.000  0.500  0.253
Dy  0.000  0.500  0.747
Dy  0.500  0.000  0.253
Dy  0.500  0.000  0.747
Dy  0.500  0.500  0.253
Dy  0.500  0.500  0.747
Ho  0.000  0.000  0.500

Output
**Formation enthalpy at 0 K**: 0.2808 eV per atom
**Uncorrected energy**: -57.04 eV per cell
**Space-group type**: P6/mmm

# 2
PmDy3Ho7 after structural relaxation. Source: Alexandria via LeMat-Bulk, functional PBE.

Unit cell a=8.385 b=8.385 c=8.385 alpha=139.77 beta=97.01 gamma=96.58
Fractional positions:
Pm  0.000  0.000  0.000
Dy  0.293  0.793  0.500
Dy  0.500  0.500  0.000
Dy  0.707  0.207  0.500
Ho  0.000  0.500  0.500
Ho  0.098  0.305  0.793
Ho  0.294  0.000  0.294
Ho  0.488  0.695  0.793
Ho  0.512  0.305  0.207
Ho  0.706  0.000  0.706
Ho  0.902  0.695  0.207

Output
**Formation enthalpy at 0 K**: 0.2620 eV per atom
**Uncorrected energy**: -47.72 eV per cell
**Energy above the lowest structure with this stoichiometry**: 68 meV/atom
**Space-group type**: Immm

# 3
Pm5Dy12Ho after structural relaxation. Source: Alexandria via LeMat-Bulk, functional PBE.

Unit cell a=10.706 b=10.706 c=6.178 alpha=106.64 beta=106.64 gamma=59.99
Fractional positions:
Pm  0.000  0.000  0.000
Pm  0.167  0.167  0.501
Pm  0.334  0.334  0.001
Pm  0.666  0.666  0.999
Pm  0.833  0.833  0.499
Dy  0.001  0.665  0.999
Dy  0.167  0.501  0.501
Dy  0.169  0.831  0.500
Dy  0.333  0.667  0.000
Dy  0.335  0.999  0.001
Dy  0.499  0.833  0.499
Dy  0.501  0.167  0.501
Dy  0.665  0.001  0.999
Dy  0.667  0.333  0.000
Dy  0.831  0.169  0.500
Dy  0.833  0.499  0.499
Dy  0.999  0.335  0.001
Ho  0.500  0.500  0.500

Output
**Formation enthalpy at 0 K**: 0.0169 eV per atom
**Uncorrected energy**: -83.25 eV per cell
**Space-group type**: C2/m

# 4
Pm4Dy3Ho4 after structural relaxation. Source: Alexandria via LeMat-Bulk, functional PBE.

Unit cell a=10.897 b=10.897 c=10.897 alpha=161.30 beta=117.59 gamma=65.78
Fractional positions:
Pm  0.213  0.213  0.000
Pm  0.287  0.500  0.787
Pm  0.713  0.500  0.213
Pm  0.787  0.787  0.000
Dy  0.000  0.000  0.000
Dy  0.392  0.892  0.500
Dy  0.608  0.108  0.500
Ho  0.077  0.328  0.749
Ho  0.420  0.672  0.749
Ho  0.580  0.328  0.251
Ho  0.923  0.672  0.251

Output
**Formation enthalpy at 0 K**: 0.1769 eV per atom
**Uncorrected energy**: -49.17 eV per cell
**Energy above the lowest structure with this stoichiometry**: 115 meV/atom
**Space-group type**: Immm

# 5
Pm3Dy8Ho3 after structural relaxation. Source: Alexandria via LeMat-Bulk, functional PBE.

Unit cell a=9.645 b=9.645 c=9.645 alpha=146.01 beta=111.95 gamma=78.29
Fractional positions:
Pm  0.000  0.000  0.000
Pm  0.182  0.682  0.500
Pm  0.818  0.318  0.500
Dy  0.119  0.279  0.840
Dy  0.239  0.897  0.342
Dy  0.439  0.279  0.160
Dy  0.445  0.103  0.342
Dy  0.555  0.897  0.658
Dy  0.561  0.721  0.840
Dy  0.761  0.103  0.658
Dy  0.881  0.721  0.160
Ho  0.204  0.500  0.704
Ho  0.500  0.500  0.000
Ho  0.796  0.500  0.296

Output
**Formation enthalpy at 0 K**: 0.1080 eV per atom
**Uncorrected energy**: -63.29 eV per cell
**Space-group type**: Immm

# 6
Pm2Dy7Ho4 after structural relaxation. Source: Alexandria via LeMat-Bulk, functional PBE.

Unit cell a=6.337 b=6.410 c=11.710 alpha=88.36 beta=78.68 gamma=64.81
Fractional positions:
Pm  0.075  0.207  0.017
Pm  0.925  0.793  0.983
Dy  0.004  0.568  0.245
Dy  0.164  0.870  0.695
Dy  0.446  0.998  0.185
Dy  0.500  0.500  0.000
Dy  0.554  0.002  0.815
Dy  0.836  0.130  0.305
Dy  0.996  0.432  0.755
Ho  0.228  0.215  0.472
Ho  0.370  0.657  0.393
Ho  0.630  0.343  0.607
Ho  0.772  0.785  0.528

Output
**Formation enthalpy at 0 K**: 0.1402 eV per atom
**Uncorrected energy**: -58.20 eV per cell
**Space-group type**: P-1

- Look up the formation enthalpy at 0 K of the fourth one.
  0.1769 eV per atom

- What is the formula in the first record?
  Pm6Dy6Ho